Entry from Alexandria via LeMat-Bulk: crystalline TiZnRuRh at its relaxed geometry (PBE).

Structure (CIF):
```
data_TiZnRuRh
_chemical_formula_sum 'Ti1 Zn1 Ru1 Rh1'
_cell_length_a 4.315
_cell_length_b 4.315
_cell_length_c 4.315
_cell_angle_alpha 60.00
_cell_angle_beta 60.00
_cell_angle_gamma 60.00
_space_group_name_H-M_alt 'P 1'
_space_group_IT_number 1
loop_
_space_group_symop_operation_xyz
'x,y,z'
loop_
_atom_site_label
_atom_site_fract_x
_atom_site_fract_y
_atom_site_fract_z
Ti1 0.000 0.000 0.000
Zn1 0.500 0.500 0.500
Ru1 0.750 0.750 0.750
Rh1 0.250 0.250 0.250
```

The formation enthalpy at 0 K is -0.559 eV per atom. The value obtained for the density of states at the Fermi level is 2.93 states/eV per cell.